## Mg2Sc2Os (PBE)

Data for a relaxed Mg2Sc2Os crystal.

```
Mg2Sc2Os
1.0
-2.303 -1.399 -1.816
1.667 0.743 -2.688
5.090 -8.281 2.831
Sc Mg Os
2 2 1
direct
0.578 0.578 0.156 Sc
0.422 0.422 0.844 Sc
0.197 0.197 0.394 Mg
0.803 0.803 0.606 Mg
0.000 0.000 0.000 Os
```

Properties
E   -28.49 eV per formula unit
M_tot   0.00 μB/f.u.
Crystal system   tetragonal
Formation enthalpy at 0 K   -0.2826 eV per atom
N(E_F)   2.08 states/eV per cell
Theoretical density   5.24 Mg/m³